VASP calculation (meta-GGA SCAN) on Sr2Zn at its PBEsol-relaxed geometry.

CIF file:
```
data_Sr2Zn
_chemical_formula_sum 'Sr2 Zn1'
_cell_length_a 4.4302
_cell_length_b 4.4302
_cell_length_c 7.2691
_cell_angle_alpha 90.00
_cell_angle_beta 90.00
_cell_angle_gamma 120.00
_space_group_name_H-M_alt 'P 1'
_space_group_IT_number 1
_space_group_name_Hall 'P 1'
loop_
_atom_site_label
_atom_site_fract_x
_atom_site_fract_y
_atom_site_fract_z
_atom_site_occupancy
Sr1 0.3333 0.6667 0.2565 1
Sr2 0.6667 0.3333 0.7435 1
Zn1 0.0000 0.0000 0.0000 1
```

Output
Space group   P-3m1
ΔH_f (0 K)   -55.9 meV/atom


VASP calculation (meta-GGA SCAN) on CrHgAu at its PBEsol-relaxed geometry.

CIF file:
```
data_CrHgAu
_chemical_formula_sum 'Cr1 Hg1 Au1'
_cell_length_a 3.2083
_cell_length_b 3.6707
_cell_length_c 5.0183
_cell_angle_alpha 111.45
_cell_angle_beta 108.64
_cell_angle_gamma 90.00
_space_group_name_H-M_alt 'P 1'
_space_group_IT_number 1
_space_group_name_Hall 'P 1'
loop_
_atom_site_label
_atom_site_fract_x
_atom_site_fract_y
_atom_site_fract_z
_atom_site_occupancy
Au1 0.0069 0.0069 0.0137 1
Cr1 0.6625 0.6625 0.3249 1
Hg1 0.3307 0.3307 0.6613 1
```

Output
Space group   Imm2
ΔH_f (0 K)   -13.0 meV/atom


VASP calculation (meta-GGA SCAN) on ScZn4Pt at its PBEsol-relaxed geometry.

CIF file:
```
data_ScZn4Pt
_chemical_formula_sum 'Sc1 Zn4 Pt1'
_cell_length_a 4.9771
_cell_length_b 4.9771
_cell_length_c 4.9771
_cell_angle_alpha 60.00
_cell_angle_beta 60.00
_cell_angle_gamma 60.00
_space_group_name_H-M_alt 'P 1'
_space_group_IT_number 1
_space_group_name_Hall 'P 1'
loop_
_atom_site_label
_atom_site_fract_x
_atom_site_fract_y
_atom_site_fract_z
_atom_site_occupancy
Sc1 0.0000 0.0000 0.0000 1
Zn1 0.6248 0.6248 0.1255 1
Zn2 0.1255 0.6248 0.6248 1
Zn3 0.6248 0.1255 0.6248 1
Zn4 0.6248 0.6248 0.6248 1
Pt1 0.2500 0.2500 0.2500 1
```

Output
Space group   F-43m
ΔH_f (0 K)   -491.4 meV/atom


VASP calculation (meta-GGA SCAN) on HfZr3H at its PBEsol-relaxed geometry.

CIF file:
```
data_HfZr3H
_chemical_formula_sum 'Hf1 Zr3 H1'
_cell_length_a 5.1089
_cell_length_b 5.1089
_cell_length_c 5.1089
_cell_angle_alpha 90.00
_cell_angle_beta 90.00
_cell_angle_gamma 90.00
_space_group_name_H-M_alt 'P 1'
_space_group_IT_number 1
_space_group_name_Hall 'P 1'
loop_
_atom_site_label
_atom_site_fract_x
_atom_site_fract_y
_atom_site_fract_z
_atom_site_occupancy
H1 0.5000 0.5000 0.5000 1
Hf1 0.0000 0.0000 0.0000 1
Zr1 0.0000 0.5000 0.0000 1
Zr2 0.0000 0.0000 0.5000 1
Zr3 0.5000 0.0000 0.0000 1
```

Output
Energy relative to the lowest polymorph listed for this composition   1821 meV/atom
Space group   Pm-3m


VASP calculation (meta-GGA SCAN) on CaNi3 at its PBEsol-relaxed geometry.

CIF file:
```
data_CaNi3
_chemical_formula_sum 'Ca2 Ni6'
_cell_length_a 3.9756
_cell_length_b 5.1249
_cell_length_c 6.3077
_cell_angle_alpha 90.00
_cell_angle_beta 90.00
_cell_angle_gamma 90.00
_space_group_name_H-M_alt 'P 1'
_space_group_IT_number 1
_space_group_name_Hall 'P 1'
loop_
_atom_site_label
_atom_site_fract_x
_atom_site_fract_y
_atom_site_fract_z
_atom_site_occupancy
Ca1 0.0000 0.3837 0.0000 1
Ca2 0.5000 0.6163 0.5000 1
Ni1 0.5000 0.8665 0.0000 1
Ni2 0.0000 0.1335 0.5000 1
Ni3 0.0000 0.8979 0.8107 1
Ni4 0.0000 0.8979 0.1893 1
Ni5 0.5000 0.1021 0.3107 1
Ni6 0.5000 0.1021 0.6893 1
```

Output
Space group   Pmmn
ΔH_f (0 K)   -31.3 meV/atom


VASP calculation (meta-GGA SCAN) on K2RuBr at its PBEsol-relaxed geometry.

CIF file:
```
data_K2RuBr
_chemical_formula_sum 'K2 Ru1 Br1'
_cell_length_a 3.3250
_cell_length_b 5.7233
_cell_length_c 6.3319
_cell_angle_alpha 101.50
_cell_angle_beta 105.22
_cell_angle_gamma 90.00
_space_group_name_H-M_alt 'P 1'
_space_group_IT_number 1
_space_group_name_Hall 'P 1'
loop_
_atom_site_label
_atom_site_fract_x
_atom_site_fract_y
_atom_site_fract_z
_atom_site_occupancy
Br1 0.7084 0.0532 0.4167 1
K1 0.9865 0.1615 0.9730 1
K2 0.2627 0.5822 0.5254 1
Ru1 0.5424 0.7031 0.0848 1
```

Output
Energy relative to the lowest polymorph listed for this composition   0 meV/atom
Space group   Cm
Formation energy without anion corrections   182 meV per atom


VASP calculation (meta-GGA SCAN) on MgTiBiO5 at its PBEsol-relaxed geometry.

CIF file:
```
data_MgTiBiO5
_chemical_formula_sum 'Mg4 Ti4 Bi4 O20'
_cell_length_a 5.3115
_cell_length_b 8.1736
_cell_length_c 10.7150
_cell_angle_alpha 90.00
_cell_angle_beta 90.00
_cell_angle_gamma 106.82
_space_group_name_H-M_alt 'P 1'
_space_group_IT_number 1
_space_group_name_Hall 'P 1'
loop_
_atom_site_label
_atom_site_fract_x
_atom_site_fract_y
_atom_site_fract_z
_atom_site_occupancy
Mg1 0.6293 0.1655 0.0902 1
Mg2 0.3707 0.8345 0.9098 1
Mg3 0.8707 0.3345 0.5902 1
Mg4 0.1293 0.6655 0.4098 1
Ti1 0.8093 0.9510 0.3815 1
Ti2 0.1907 0.0490 0.6185 1
Ti3 0.6907 0.5490 0.8815 1
Ti4 0.3093 0.4510 0.1185 1
Bi1 0.1152 0.1590 0.8946 1
Bi2 0.8848 0.8410 0.1054 1
Bi3 0.6152 0.6590 0.6054 1
Bi4 0.3848 0.3410 0.3946 1
O1 0.4990 0.3449 0.9610 1
O2 0.0057 0.3192 0.0458 1
O3 0.4904 0.6729 0.8018 1
O4 0.7572 0.5075 0.4650 1
O5 0.7858 0.4860 0.7285 1
O6 0.2858 0.9860 0.7715 1
O7 0.5057 0.8192 0.4542 1
O8 0.4943 0.1808 0.5458 1
O9 0.2428 0.4925 0.5350 1
O10 0.0010 0.1551 0.4610 1
O11 0.2142 0.5140 0.2715 1
O12 0.5010 0.6551 0.0390 1
O13 0.9990 0.8449 0.5390 1
O14 0.7142 0.0140 0.2285 1
O15 0.7428 0.9925 0.9650 1
O16 0.2572 0.0075 0.0350 1
O17 0.5096 0.3271 0.1982 1
O18 0.9943 0.6808 0.9542 1
O19 0.0096 0.8271 0.3018 1
O20 0.9904 0.1729 0.6982 1
```

Output
Space group   P2_1/c
Formation energy without anion corrections   -2270 meV per atom


VASP calculation (meta-GGA SCAN) on SrLi2In2 at its PBEsol-relaxed geometry.

CIF file:
```
data_SrLi2In2
_chemical_formula_sum 'Sr1 Li2 In2'
_cell_length_a 4.3024
_cell_length_b 4.3024
_cell_length_c 7.5852
_cell_angle_alpha 106.48
_cell_angle_beta 106.48
_cell_angle_gamma 90.00
_space_group_name_H-M_alt 'P 1'
_space_group_IT_number 1
_space_group_name_Hall 'P 1'
loop_
_atom_site_label
_atom_site_fract_x
_atom_site_fract_y
_atom_site_fract_z
_atom_site_occupancy
Sr1 0.0000 0.0000 0.0000 1
In1 0.3902 0.3902 0.7805 1
In2 0.6098 0.6098 0.2195 1
Li1 0.2500 0.7500 0.5000 1
Li2 0.7500 0.2500 0.5000 1
```

Output
Space group   I4/mmm
ΔH_f (0 K)   -366.0 meV/atom


Values of DOS(E_F), in order: 0.738; 0.355; 0.660; 1.328; 0.812; 0.427; 0.225; 0.528, all in states/eV/atom.
Values of theoretical density, in order: 3.23; 14.45; 9.56; 5.64; 5.59; 3.78; 5.39; 4.28, all in Mg/m³.
Values of raw total energy, in order: -19.41; -51.92; -23.57; -29.93; -14.58; -17.55; -18.61; -19.13, all in eV per atom.